## Rb3InO3 (PBE-GGA)

Data for a geometry-optimized Rb3InO3 structure.

a b c (Å): 7.179 7.179 7.126
angles (deg): 84.27 84.27 115.11
Site moments in Bohr magnetons follow the coordinates.
Sites, in units of the cell vectors:
Rb (0.368, 0.368, 0.351)  0.00
In (0.823, 0.823, 0.148)  0.00
O (0.101, 0.101, 0.159)  0.00
Rb (0.632, 0.632, 0.649)  0.00
O (0.837, 0.556, 0.270)  0.06
O (0.899, 0.899, 0.841)  0.00
In (0.177, 0.177, 0.852)  0.00
O (0.163, 0.444, 0.730)  0.06
Rb (0.258, 0.742, 0.000)  0.00
Rb (0.742, 0.258, 0.000)  0.00
Rb (0.802, 0.198, 0.500)  0.00
O (0.556, 0.837, 0.270)  0.06
Rb (0.198, 0.802, 0.500)  0.00
O (0.444, 0.163, 0.730)  0.06

Mass density ... 4.26 g/cm3
E_tot ... -4.271 eV/atom
Formation energy without anion corrections ... -1.340 eV/atom
Space group ... No. 12
Energy above the lowest structure with this stoichiometry ... 9.4 meV/atom

## RbInO (PBE-GGA)

Data for a geometry-optimized RbInO structure.

a b c (Å): 5.639 6.583 10.402
angles (deg): 107.09 90.00 90.00
Sites, in units of the cell vectors:
Rb (0.734, 0.386, 0.352)
O (0.542, 0.232, 0.569)
Rb (0.234, 0.614, 0.148)
In (0.255, 0.053, 0.446)
In (0.755, 0.947, 0.054)
In (0.245, 0.053, 0.946)
O (0.958, 0.232, 0.069)
O (0.458, 0.768, 0.431)
Rb (0.766, 0.386, 0.852)
Rb (0.266, 0.614, 0.648)
O (0.042, 0.768, 0.931)
In (0.745, 0.947, 0.554)

Mass density ... 3.89 g/cm3
E_tot ... -3.878 eV/atom
Formation energy without anion corrections ... -0.990 eV/atom
Space group ... No. 14

## Rb2InO (PBE-GGA)

Data for a geometry-optimized Rb2InO structure.

a b c (Å): 11.925 11.925 8.745
angles (deg): 47.02 47.02 90.00
Site moments in Bohr magnetons follow the coordinates.
Sites, in units of the cell vectors:
Rb (0.316, 0.625, 0.250)  0.02
O (0.250, 0.750, 0.500)  0.20
Rb (0.875, 0.684, 0.750)  0.02
In (0.000, 0.000, 0.000)  0.07
In (0.750, 0.250, 0.500)  0.07
Rb (0.434, 0.125, 0.250)  0.02
O (0.500, 0.500, 0.000)  0.20
Rb (0.375, 0.566, 0.750)  0.02

Mass density ... 3.04 g/cm3
E_tot ... -2.868 eV/atom
Formation energy without anion corrections ... -0.460 eV/atom
Space group ... No. 122
Energy above the lowest structure with this stoichiometry ... 10.7 meV/atom

## Rb5In2O5 (PBE-GGA)

Data for a geometry-optimized Rb5In2O5 structure.

a b c (Å): 3.910 7.050 10.479
angles (deg): 101.48 90.00 106.10
Sites, in units of the cell vectors:
Rb (0.500, 0.000, 0.500)
Rb (0.354, 0.708, 0.947)
Rb (0.646, 0.292, 0.053)
Rb (0.237, 0.474, 0.635)
O (0.000, 0.000, 0.000)
In (0.018, 0.036, 0.791)
O (0.885, 0.771, 0.648)
O (0.115, 0.229, 0.352)
O (0.401, 0.803, 0.218)
Rb (0.763, 0.526, 0.365)
In (0.982, 0.964, 0.209)
O (0.599, 0.197, 0.782)

Mass density ... 4.51 g/cm3
E_tot ... -4.112 eV/atom
Formation energy without anion corrections ... -1.187 eV/atom
Space group ... No. 12

## Rb3In2O4 (PBE-GGA)

Data for a geometry-optimized Rb3In2O4 structure.

a b c (Å): 6.447 8.064 8.064
angles (deg): 82.27 88.14 88.14
Sites, in units of the cell vectors:
O (0.011, 0.635, 0.111)
In (0.435, 0.154, 0.370)
O (0.386, 0.643, 0.758)
Rb (0.250, 0.575, 0.425)
In (0.065, 0.630, 0.846)
Rb (0.551, 0.709, 0.077)
O (0.614, 0.357, 0.242)
In (0.935, 0.370, 0.154)
O (0.511, 0.111, 0.635)
O (0.989, 0.365, 0.889)
Rb (0.949, 0.923, 0.291)
Rb (0.449, 0.291, 0.923)
O (0.886, 0.758, 0.643)
In (0.565, 0.846, 0.630)
Rb (0.750, 0.425, 0.575)
Rb (0.051, 0.077, 0.709)
O (0.489, 0.889, 0.365)
O (0.114, 0.242, 0.357)

Mass density ... 4.40 g/cm3
E_tot ... -4.431 eV/atom
Formation energy without anion corrections ... -1.297 eV/atom
Space group ... No. 15

## RbIn4O2 (PBE-GGA)

Data for a geometry-optimized RbIn4O2 structure.

a b c (Å): 6.314 6.314 8.443
angles (deg): 68.04 68.04 90.00
Sites, in units of the cell vectors:
In (0.500, 0.000, 0.000)
O (0.600, 0.600, 0.801)
In (0.262, 0.262, 0.475)
In (0.000, 0.500, 0.000)
O (0.400, 0.400, 0.199)
In (0.738, 0.738, 0.525)
Rb (0.000, 0.000, 0.000)

Mass density ... 3.35 g/cm3
E_tot ... -2.910 eV/atom
Formation energy without anion corrections ... 0.210 eV/atom
Space group ... No. 139

## Rb11InO2 (PBE-GGA)

Data for a geometry-optimized Rb11InO2 structure.

a b c (Å): 15.194 13.110 13.110
angles (deg): 71.00 54.59 54.59
Sites, in units of the cell vectors:
Rb (0.195, 0.206, 0.794)
O (0.680, 0.676, 0.324)
Rb (0.452, 0.892, 0.368)
Rb (0.611, 0.204, 0.054)
Rb (0.889, 0.446, 0.296)
O (0.320, 0.324, 0.676)
Rb (0.288, 0.368, 0.892)
Rb (0.212, 0.608, 0.132)
Rb (0.048, 0.132, 0.608)
Rb (0.788, 0.392, 0.868)
Rb (0.695, 0.294, 0.706)
O (0.820, 0.176, 0.824)
Rb (0.805, 0.794, 0.206)
O (0.180, 0.824, 0.176)
Rb (0.111, 0.554, 0.704)
Rb (0.548, 0.108, 0.632)
In (0.250, 0.250, 0.250)
Rb (0.000, 0.000, 0.000)
Rb (0.869, 0.946, 0.796)
Rb (0.952, 0.868, 0.392)
Rb (0.500, 0.500, 0.500)
Rb (0.131, 0.054, 0.204)
In (0.750, 0.750, 0.750)
Rb (0.712, 0.632, 0.108)
Rb (0.305, 0.706, 0.294)
Rb (0.369, 0.296, 0.446)
Rb (0.389, 0.796, 0.946)
Rb (0.631, 0.704, 0.554)

Mass density ... 2.08 g/cm3
E_tot ... -1.999 eV/atom
Formation energy without anion corrections ... -0.335 eV/atom
Space group ... No. 72

## Rb6InO4 (PBE-GGA)

Data for a geometry-optimized Rb6InO4 structure.

a b c (Å): 6.892 9.916 9.916
angles (deg): 120.00 90.00 90.00
Sites, in units of the cell vectors:
O (0.337, 0.783, 0.217)
Rb (0.130, 0.086, 0.543)
O (0.414, 0.333, 0.667)
In (0.223, 0.667, 0.333)
O (0.837, 0.217, 0.434)
Rb (0.630, 0.914, 0.457)
Rb (0.985, 0.283, 0.141)
Rb (0.985, 0.859, 0.141)
Rb (0.985, 0.859, 0.717)
Rb (0.485, 0.141, 0.283)
Rb (0.130, 0.457, 0.543)
O (0.837, 0.217, 0.783)
Rb (0.485, 0.141, 0.859)
Rb (0.630, 0.543, 0.086)
In (0.723, 0.333, 0.667)
O (0.337, 0.783, 0.566)
Rb (0.130, 0.457, 0.914)
O (0.914, 0.667, 0.333)
Rb (0.485, 0.717, 0.859)
Rb (0.630, 0.543, 0.457)
O (0.337, 0.434, 0.217)
O (0.837, 0.566, 0.783)

Mass density ... 3.91 g/cm3
E_tot ... -3.647 eV/atom
Formation energy without anion corrections ... -1.067 eV/atom
Space group ... No. 186

## Rb2InO (PBE-GGA)

Data for a geometry-optimized Rb2InO structure.

a b c (Å): 5.678 5.678 5.678
angles (deg): 60.00 60.00 60.00
Sites, in units of the cell vectors:
Rb (0.250, 0.250, 0.250)
Rb (0.750, 0.750, 0.750)
O (0.000, 0.000, 0.000)
In (0.500, 0.500, 0.500)

Mass density ... 3.87 g/cm3
E_tot ... -2.373 eV/atom
Formation energy without anion corrections ... 0.035 eV/atom
Space group ... No. 225
Energy above the lowest structure with this stoichiometry ... 505.6 meV/atom

## Rb3InO (PBE-GGA)

Data for a geometry-optimized Rb3InO structure.

a b c (Å): 5.795 5.795 5.795
angles (deg): 90.00 90.00 90.00
Site moments in Bohr magnetons follow the coordinates.
Sites, in units of the cell vectors:
Rb (0.000, 0.500, 0.000)  0.02
Rb (0.500, 0.000, 0.000)  0.02
In (0.500, 0.500, 0.500)  0.28
Rb (0.000, 0.000, 0.500)  0.03
O (0.000, 0.000, 0.000)  0.18

Mass density ... 3.30 g/cm3
E_tot ... -2.487 eV/atom
Formation energy without anion corrections ... -0.367 eV/atom
Space group ... No. 221
Energy above the lowest structure with this stoichiometry ... 0.0 meV/atom

## Rb5In2O6 (PBE-GGA)

Data for a geometry-optimized Rb5In2O6 structure.

a b c (Å): 6.977 6.977 14.773
angles (deg): 79.96 79.96 66.47
Site moments in Bohr magnetons follow the coordinates.
Sites, in units of the cell vectors:
Rb (0.957, 0.735, 0.217)  0.00
O (0.679, 0.621, 0.857)  0.18
O (0.951, 0.932, 0.880)  0.21
O (0.068, 0.049, 0.620)  0.21
Rb (0.229, 0.688, 0.503)  0.00
Rb (0.688, 0.229, 0.003)  0.00
Rb (0.380, 0.620, 0.750)  0.00
In (0.883, 0.670, 0.928)  -0.01
Rb (0.735, 0.957, 0.717)  0.00
Rb (0.265, 0.043, 0.283)  0.00
O (0.406, 0.183, 0.427)  0.07
O (0.621, 0.679, 0.357)  0.18
Rb (0.620, 0.380, 0.250)  0.00
O (0.379, 0.321, 0.643)  0.18
O (0.817, 0.594, 0.073)  0.07
O (0.183, 0.406, 0.927)  0.07
In (0.330, 0.117, 0.572)  -0.01
Rb (0.771, 0.312, 0.497)  0.00
Rb (0.312, 0.771, 0.997)  0.00
In (0.670, 0.883, 0.428)  -0.01
O (0.049, 0.068, 0.120)  0.21
In (0.117, 0.330, 0.072)  -0.01
O (0.594, 0.817, 0.573)  0.07
O (0.321, 0.379, 0.143)  0.18
Rb (0.043, 0.265, 0.783)  0.00
O (0.932, 0.951, 0.380)  0.21

Mass density ... 3.88 g/cm3
E_tot ... -4.344 eV/atom
Formation energy without anion corrections ... -1.262 eV/atom
Space group ... No. 15

## Rb14InO (PBE-GGA)

Data for a geometry-optimized Rb14InO structure.

a b c (Å): 10.716 10.716 12.382
angles (deg): 90.00 90.00 113.93
Sites, in units of the cell vectors:
Rb (0.835, 0.611, 0.697)
Rb (0.329, 0.671, 0.280)
Rb (0.329, 0.671, 0.720)
Rb (0.389, 0.165, 0.697)
In (0.168, 0.832, 0.500)
Rb (0.003, 0.379, 0.500)
Rb (0.031, 0.371, 0.000)
Rb (0.389, 0.165, 0.303)
Rb (0.958, 0.042, 0.669)
Rb (0.835, 0.611, 0.303)
O (0.878, 0.122, 0.500)
Rb (0.958, 0.042, 0.331)
Rb (0.539, 0.461, 0.000)
Rb (0.621, 0.997, 0.500)
Rb (0.629, 0.969, 0.000)
Rb (0.112, 0.888, 0.000)

Mass density ... 1.70 g/cm3
E_tot ... -1.453 eV/atom
Formation energy without anion corrections ... -0.125 eV/atom
Space group ... No. 38